# Dy4SnBi2 (PBE, relaxed)
# M_tot = 0.002 μB/cell
# crystal system = tetragonal
# E_form = -0.552 eV/atom
# total DFT energy (no corrections) = -4.863 eV per atom
data_Dy4SnBi2
_cell_length_a 9.759
_cell_length_b 9.759
_cell_length_c 9.551
_cell_angle_alpha 90.00
_cell_angle_beta 90.00
_cell_angle_gamma 90.00
_space_group_name_H-M_alt 'I 41/a m d'
_space_group_IT_number 141
loop_
_space_group_symop_operation_xyz
'x,y,z'
'-x,-y,-z'
'-y+1/4,x+3/4,z+1/4'
'y+1/4,-x+3/4,-z+1/4'
'-x+1/2,-y,z+1/2'
'x+1/2,y,-z+1/2'
'y+1/4,-x+1/4,z+3/4'
'-y+1/4,x+1/4,-z+3/4'
'x,-y,-z'
'-x,y,z'
'-y+1/4,-x+1/4,-z+3/4'
'y+1/4,x+1/4,z+3/4'
'-x+1/2,y,-z+1/2'
'x+1/2,-y,z+1/2'
'y+1/4,x+3/4,-z+1/4'
'-y+1/4,-x+3/4,z+1/4'
'x+1/2,y+1/2,z+1/2'
'-x+1/2,-y+1/2,-z+1/2'
'-y+3/4,x+1/4,z+3/4'
'y+3/4,-x+1/4,-z+3/4'
'-x,-y+1/2,z'
'x,y+1/2,-z'
'y+3/4,-x+3/4,z+1/4'
'-y+3/4,x+3/4,-z+1/4'
'x+1/2,-y+1/2,-z+1/2'
'-x+1/2,y+1/2,z+1/2'
'-y+3/4,-x+3/4,-z+1/4'
'y+3/4,x+3/4,z+1/4'
'-x,y+1/2,-z'
'x,-y+1/2,z'
'y+3/4,x+1/4,-z+3/4'
'-y+3/4,-x+1/4,z+3/4'
loop_
_atom_site_label
_atom_site_type_symbol
_atom_site_fract_x
_atom_site_fract_y
_atom_site_fract_z
Dy1 Dy 0.000 0.060 0.185
Sn1 Sn 0.000 0.250 0.875
Bi1 Bi 0.000 0.000 0.500



# NaCdCoGe2 (PBE, relaxed)
# M_tot = 0.000 μB/cell
# crystal system = tetragonal
# E_form = 0.023 eV/atom
# total DFT energy (no corrections) = -3.692 eV per atom
data_NaCdCoGe2
_cell_length_a 4.555
_cell_length_b 4.555
_cell_length_c 5.062
_cell_angle_alpha 90.00
_cell_angle_beta 90.00
_cell_angle_gamma 90.00
_space_group_name_H-M_alt 'P 4/m m m'
_space_group_IT_number 123
_space_group_name_Hall '-P 4 2'
loop_
_atom_site_label
_atom_site_type_symbol
_atom_site_fract_x
_atom_site_fract_y
_atom_site_fract_z
Na1 Na 0.000 0.000 0.000
Cd1 Cd 0.500 0.500 0.000
Co1 Co 0.500 0.500 0.500
Ge1 Ge 0.000 0.500 0.500



# Ta2CoCu (PBE, relaxed)
# M_tot = 0.002 μB/cell
# crystal system = monoclinic
# E_form = 0.020 eV/atom
# total DFT energy (no corrections) = -8.707 eV per atom
data_Ta2CoCu
_cell_length_a 5.523
_cell_length_b 7.560
_cell_length_c 2.802
_cell_angle_alpha 90.00
_cell_angle_beta 90.18
_cell_angle_gamma 90.00
_space_group_name_H-M_alt 'C 1 2/m 1'
_space_group_IT_number 12
_space_group_name_Hall '-C 2y'
loop_
_atom_site_label
_atom_site_type_symbol
_atom_site_fract_x
_atom_site_fract_y
_atom_site_fract_z
Ta1 Ta 0.250 0.250 0.000
Co1 Co 0.000 0.000 0.500
Cu1 Cu 0.000 0.500 0.500